7
Lattice="-0.5277 -0.3173 8.4262 -1.9812 3.6000 7.3820 -4.5908 0.1863 7.0901" Properties=species:S:1:pos:R:3 comment="Hf2Si3Ag2 (PBE, relaxed)" sg="R3m, No. 160" de_polymorph_mev_per_atom=82 crystal_system=trigonal pbc="T T T"
Hf -1.7662 0.8630 5.6965
Hf -5.3334 2.6059 17.2015
Si -6.1002 2.9806 19.6746
Ag -0.0116 0.0056 0.0373
Ag -3.5428 1.7310 11.4264
Si -4.4674 2.1828 14.4083
Si -2.7400 1.3388 8.8371